# 1
This record from the Alexandria database describes a relaxed structure of SrAc3Ni. The functional is PBE-GGA.

a b c (Å): 10.733 7.204 10.812
angles (deg): 90.00 101.12 90.00
Space group P2_1/c (No. 14)
Symmetry-distinct sites (fractional):
1 Sr 0.060 0.086 0.186 [4 per cell]
2 Ac 0.189 0.581 0.058 [4 per cell]
3 Ac 0.315 0.084 0.934 [4 per cell]
4 Ac 0.432 0.578 0.813 [4 per cell]
5 Ni 0.431 0.747 0.562 [4 per cell]

Values from the calculation:
The value obtained for the energy relative to the elements is -26 kJ/mol of formula units. The polymorph energy (0 for the lowest one) comes out at 0.000 eV per formula unit.


# 2
This record from the Alexandria database describes a relaxed structure of Sr2AcNi. The functional is PBE-GGA.

a b c (Å): 4.0105 4.0105 34.4092
angles (deg): 90.00 90.00 120.00
Space group R-3m (No. 166, hexagonal axes)
Symmetry-distinct sites (fractional):
1 Sr 0.0000 0.0000 0.1149 [6 per cell]
2 Ac 0.0000 0.0000 0.0000 [3 per cell]
3 Ni 0.0000 0.0000 0.5000 [3 per cell]

Values from the calculation:
The value obtained for the energy relative to the elements is 87 kJ/mol of formula units. The polymorph energy (0 for the lowest one) comes out at 1.331 eV per formula unit.


# 3
This record from the Alexandria database describes a relaxed structure of SrAc4Ni2. The functional is PBE-GGA.

a b c (Å): 19.829 4.074 6.687
angles (deg): 90.00 102.16 90.00
Space group C2/m (No. 12)
Symmetry-distinct sites (fractional):
1 Sr 0.000 0.000 0.000 [2 per cell]
2 Ac 0.125 0.000 0.575 [4 per cell]
3 Ac 0.185 0.500 0.124 [4 per cell]
4 Ni 0.236 0.500 0.597 [4 per cell]

Values from the calculation:
The value obtained for the energy relative to the elements is -61 kJ/mol of formula units.


# 4
This record from the Alexandria database describes a relaxed structure of SrAc3Ni. The functional is PBE-GGA.

a b c (Å): 5.916 5.916 5.916
angles (deg): 90.00 90.00 90.00
Space group Pm-3m (No. 221)
Symmetry-distinct sites (fractional):
1 Sr 0.000 0.000 0.000 [1 per cell]
2 Ac 0.000 0.500 0.500 [3 per cell]
3 Ni 0.500 0.500 0.500 [1 per cell]

Values from the calculation:
The value obtained for the energy relative to the elements is -17 kJ/mol of formula units. The polymorph energy (0 for the lowest one) comes out at 0.096 eV per formula unit.